(1)
! GGA-PBE YTa2Rh, optimized geometry; values from VASP
! * excess energy over the best structure of this formula in the dataset: 200 meV per atom
! * E_tot: -37.33 eV per cell
&SYSTEM
  ibrav = 0, nat = 4, ntyp = 3
/
ATOMIC_SPECIES
Y 88.91 Y.upf
Ta 180.95 Ta.upf
Rh 102.91 Rh.upf
ATOMIC_POSITIONS angstrom
Y 0.0000 0.0000 0.0000
Ta 0.0527 2.4521 3.8230
Ta 1.8323 2.4521 1.3709
Rh 0.9425 0.0000 2.5969
CELL_PARAMETERS angstrom
3.0270 0.0000 0.0000
0.0000 4.9042 0.0000
-1.1420 0.0000 5.1938



(2)
! GGA-PBE Y2TaRh2, optimized geometry; values from VASP
! * E_tot: -84.14 eV per cell
&SYSTEM
  ibrav = 0, nat = 10, ntyp = 3
/
ATOMIC_SPECIES
Y 88.91 Y.upf
Ta 180.95 Ta.upf
Rh 102.91 Rh.upf
ATOMIC_POSITIONS angstrom
Y 1.1760 2.2219 0.0000
Y 2.2219 5.6198 0.0000
Y 4.5739 1.1760 0.0000
Y 5.6198 4.5739 0.0000
Ta 0.0000 0.0000 2.2925
Ta 3.3979 3.3979 2.2925
Rh 0.9722 4.3701 2.2925
Rh 2.4257 0.9722 2.2925
Rh 4.3701 5.8236 2.2925
Rh 5.8236 2.4257 2.2925
CELL_PARAMETERS angstrom
6.7958 0.0000 0.0000
0.0000 6.7958 0.0000
0.0000 0.0000 4.5850



(3)
! GGA-PBE YTa2Rh, optimized geometry; values from VASP
! * excess energy over the best structure of this formula in the dataset: 0 meV per atom
! * E_tot: -38.13 eV per cell
&SYSTEM
  ibrav = 0, nat = 4, ntyp = 3
/
ATOMIC_SPECIES
Y 88.91 Y.upf
Ta 180.95 Ta.upf
Rh 102.91 Rh.upf
ATOMIC_POSITIONS angstrom
Y 0.0000 0.0000 0.0000
Ta 0.0000 0.0000 3.6481
Ta 1.5850 1.5850 5.5259
Rh 1.5850 1.5850 2.1821
CELL_PARAMETERS angstrom
3.1700 0.0000 0.0000
0.0000 3.1700 0.0000
0.0000 0.0000 7.8702



no.,calculated formation energy (eV/atom),M_tot (μB/f.u.),calculated volume (A^3/atom)
1,0.05,0.00,19.275
2,-0.52,0.00,21.175
3,-0.15,0.00,19.772